Computed, not measured: TmLuRuPt after structural relaxation at the PBE level of DFT.

Results
As for the space group: F-43m (216). The formation energy from the elements comes out at -0.899 eV/atom.

Unit cell a=6.763 b=6.763 c=6.763 alpha=90.00 beta=90.00 gamma=90.00
Element x y z (fractional)
Tm1 0.000 0.000 0.000
Tm2 0.000 0.500 0.500
Tm3 0.500 0.000 0.500
Tm4 0.500 0.500 0.000
Lu1 0.000 0.000 0.500
Lu2 0.000 0.500 0.000
Lu3 0.500 0.000 0.000
Lu4 0.500 0.500 0.500
Ru1 0.250 0.250 0.250
Ru2 0.250 0.750 0.750
Ru3 0.750 0.250 0.750
Ru4 0.750 0.750 0.250
Pt1 0.250 0.250 0.750
Pt2 0.250 0.750 0.250
Pt3 0.750 0.250 0.250
Pt4 0.750 0.750 0.750